No. 1
Compound: CaOsRu2
Source: Alexandria via LeMat-Bulk
Functional: PBE
Structure: relaxed

CIF file:
```
data_CaOsRu2
_chemical_formula_sum 'Ca1 Os1 Ru2'
_space_group_name_H-M_alt 'P 1'
_space_group_IT_number 1
_space_group_name_Hall 'P 1'
_cell_length_a 2.818
_cell_length_b 4.373
_cell_length_c 5.550
_cell_angle_alpha 90.00
_cell_angle_beta 104.51
_cell_angle_gamma 90.00
loop_
_atom_site_label
_atom_site_fract_x
_atom_site_fract_y
_atom_site_fract_z
Ca1 0.000 0.000 0.000
Os1 0.669 0.500 0.332
Ru1 0.253 0.000 0.503
Ru2 0.377 0.500 0.753
```

Calculated values
final energy: -7.5082 eV per atom
space-group type: Pm, No. 6
crystal system: monoclinic
energy relative to the lowest polymorph listed for this composition: 84 meV per atom
magnetization: 0.000 μB/cell
E_form: 0.438 eV per atom

=====

No. 2
Compound: CaOsRu2
Source: Alexandria via LeMat-Bulk
Functional: PBE
Structure: relaxed

CIF file:
```
data_CaOsRu2
_chemical_formula_sum 'Ca1 Os1 Ru2'
_space_group_name_H-M_alt 'P 1'
_space_group_IT_number 1
_space_group_name_Hall 'P 1'
_cell_length_a 4.975
_cell_length_b 4.975
_cell_length_c 4.975
_cell_angle_alpha 132.87
_cell_angle_beta 132.87
_cell_angle_gamma 68.86
loop_
_atom_site_label
_atom_site_fract_x
_atom_site_fract_y
_atom_site_fract_z
Ca1 0.000 0.000 0.000
Os1 0.250 0.750 0.500
Ru1 0.500 0.500 0.000
Ru2 0.750 0.250 0.500
```

Calculated values
final energy: -7.2663 eV per atom
space-group type: I-4m2, No. 119
crystal system: tetragonal
energy relative to the lowest polymorph listed for this composition: 326 meV per atom
magnetization: 0.680 μB/cell
E_form: 0.679 eV per atom